This record from the Alexandria database describes crystalline TbNd3Dy7 at its relaxed geometry. The functional is PBE-GGA.

Properties
Formation energy from the elements   174 meV/atom
Energy relative to the lowest polymorph listed for this composition   0.000 eV/atom

a = 7.0836 Å, b = 7.0836 Å, c = 8.6984 Å
α = 90.00°, β = 90.00°, γ = 120.00°
Atoms (fractional coordinates):
Tb 0.0000 0.0000 0.0000
Nd 0.1667 0.3334 0.3396
Nd 0.1667 0.8333 0.3396
Nd 0.6666 0.8333 0.3396
Dy 0.0016 0.5008 0.0020
Dy 0.3317 0.1659 0.6767
Dy 0.3333 0.6667 0.6790
Dy 0.4992 0.5008 0.0020
Dy 0.4992 0.9984 0.0020
Dy 0.8341 0.1659 0.6767
Dy 0.8341 0.6683 0.6767

---

This record from the Alexandria database describes crystalline La3Y5Tm3 at its relaxed geometry. The functional is PBE-GGA.

Properties
Formation energy from the elements   800 meV/atom

a = 9.7673 Å, b = 9.7673 Å, c = 5.1483 Å
α = 90.00°, β = 90.00°, γ = 120.00°
Atoms (fractional coordinates):
La 0.0000 0.6390 0.0000
La 0.3610 0.3610 0.0000
La 0.6390 0.0000 0.0000
Y 0.0000 0.2581 0.0000
Y 0.2581 0.0000 0.0000
Y 0.3333 0.6667 0.0000
Y 0.6667 0.3333 0.0000
Y 0.7419 0.7419 0.0000
Tm 0.0000 0.4695 0.5000
Tm 0.4695 0.0000 0.5000
Tm 0.5305 0.5305 0.5000

---

This record from the Alexandria database describes crystalline ZnNi2Rh at its relaxed geometry. The functional is PBE-GGA.

Properties
Formation energy from the elements   -64 meV/atom

a = 4.3049 Å, b = 4.3049 Å, c = 2.6962 Å
α = 90.00°, β = 90.00°, γ = 90.00°
Atoms (fractional coordinates):
Zn 0.0000 0.0000 0.0000
Ni 0.0000 0.5000 0.5000
Ni 0.5000 0.0000 0.5000
Rh 0.5000 0.5000 0.0000

---

This record from the Alexandria database describes crystalline Ni2PbAu at its relaxed geometry. The functional is PBE-GGA.

Properties
Formation energy from the elements   413 meV/atom

a = 4.0910 Å, b = 4.0910 Å, c = 17.8929 Å
α = 90.00°, β = 90.00°, γ = 90.00°
Atoms (fractional coordinates):
Ni 0.1837 0.2500 0.1250
Ni 0.2500 0.6837 0.3750
Ni 0.2500 0.8163 0.8750
Ni 0.3163 0.2500 0.6250
Ni 0.6837 0.7500 0.6250
Ni 0.7500 0.1837 0.8750
Ni 0.7500 0.3163 0.3750
Ni 0.8163 0.7500 0.1250
Pb 0.0000 0.0000 0.5000
Pb 0.0000 0.5000 0.7500
Pb 0.5000 0.0000 0.2500
Pb 0.5000 0.5000 0.0000
Au 0.0000 0.0000 0.0000
Au 0.0000 0.5000 0.2500
Au 0.5000 0.0000 0.7500
Au 0.5000 0.5000 0.5000

---

This record from the Alexandria database describes crystalline Tb2GeS4 at its relaxed geometry. The functional is PBE-GGA.

Properties
Formation energy without anion corrections   -8.6 eV/f.u.

a = 6.1747 Å, b = 6.1747 Å, c = 11.8859 Å
α = 90.00°, β = 90.00°, γ = 90.00°
Atoms (fractional coordinates):
Tb 0.0000 0.5000 0.2500
Tb 0.0000 0.5000 0.7500
Tb 0.5000 0.0000 0.2500
Tb 0.5000 0.0000 0.7500
Ge 0.0000 0.0000 0.0000
Ge 0.5000 0.5000 0.5000
S 0.2424 0.2424 0.1266
S 0.2424 0.7576 0.8734
S 0.2576 0.2576 0.6266
S 0.2576 0.7424 0.3734
S 0.7424 0.2576 0.3734
S 0.7424 0.7424 0.6266
S 0.7576 0.2424 0.8734
S 0.7576 0.7576 0.1266

---

This record from the Alexandria database describes crystalline AsPRuS2 at its relaxed geometry. The functional is PBE-GGA.

Properties
Formation energy without anion corrections   6.3 eV/f.u.
Energy relative to the lowest polymorph listed for this composition   0.595 eV/atom

a = 4.6453 Å, b = 4.6453 Å, c = 4.6766 Å
α = 90.00°, β = 90.00°, γ = 90.00°
Atoms (fractional coordinates):
As 0.0000 0.0000 0.0000
P 0.0000 0.0000 0.5000
Ru 0.5000 0.5000 0.5000
S 0.0000 0.5000 0.0000
S 0.5000 0.0000 0.0000

---

This record from the Alexandria database describes crystalline LiAl2CoW at its relaxed geometry. The functional is PBE-GGA.

Properties
Formation energy from the elements   829 meV/atom

a = 4.9688 Å, b = 4.9688 Å, c = 4.4585 Å
α = 90.00°, β = 90.00°, γ = 90.00°
Atoms (fractional coordinates):
Li 0.0000 0.0000 0.0000
Al 0.0000 0.5000 0.5000
Al 0.5000 0.0000 0.5000
Co 0.5000 0.5000 0.0000
W 0.5000 0.5000 0.5000

---

This record from the Alexandria database describes crystalline Ho3Si2Ni9Ge at its relaxed geometry. The functional is PBE-GGA.

Properties
Formation energy without anion corrections   -4.8 eV/f.u.

a = 5.8708 Å, b = 5.8708 Å, c = 8.2402 Å
α = 90.00°, β = 90.00°, γ = 120.00°
Atoms (fractional coordinates):
Ho 0.0000 0.0000 0.0000
Ho 0.3333 0.6667 0.6800
Ho 0.6667 0.3333 0.3200
Si 0.3333 0.6667 0.1789
Si 0.6667 0.3333 0.8211
Ni 0.0000 0.5000 0.0000
Ni 0.1400 0.2801 0.2803
Ni 0.1400 0.8600 0.2803
Ni 0.2801 0.1400 0.7197
Ni 0.5000 0.0000 0.0000
Ni 0.5000 0.5000 0.0000
Ni 0.7199 0.8600 0.2803
Ni 0.8600 0.1400 0.7197
Ni 0.8600 0.7199 0.7197
Ge 0.0000 0.0000 0.5000

---

| no. | energy (eV for the cell shown) |
| --- | --- |
| 1 | -49.23 |
| 2 | -51.72 |
| 3 | -20.45 |
| 4 | -67.58 |
| 5 | -77.92 |
| 6 | -21.33 |
| 7 | -25.31 |
| 8 | -86.05 |